# 1
The following is a PBE calculation of a relaxed structure of Ac3TlRh2, from Alexandria via LeMat-Bulk.

abc: 7.1038 13.9090 7.6885
angles: 90.00 90.00 90.00
With the nearest neighbours (Å) after each atom.
Space group Ibam (No. 72)
Asymmetric unit:
Ac 0.0000 0.0000 0.2500  4 Rh 3.08
Ac 0.0000 0.2865 0.2500  4 Rh 3.03-3.18
Tl 0.0000 0.5000 0.0000  2 Rh 2.84
Rh 0.2047 0.1376 0.0000  1 Tl 2.84, 6 Ac 3.03-3.18

## Properties
**Crystal system**: orthorhombic
**Distance to the lowest polymorph of the same formula**: 16 meV per atom
**Formation energy**: -0.500 eV per atom

***

# 2
The following is a PBE calculation of a relaxed structure of RbNaBi2, from Alexandria via LeMat-Bulk.

abc: 5.7702 13.3746 7.9630
angles: 90.00 90.00 90.00
With the nearest neighbours (Å) after each atom.
Space group Cmcm (No. 63)
Asymmetric unit:
Rb 0.0000 0.0790 0.2500  3 Na 3.74-4.12, 8 Bi 3.79-4.17
Na 0.0000 0.2006 0.7500  6 Bi 3.48-3.49, 1 Rb 3.74
Bi 0.0000 0.3872 0.0538  2 Bi 3.13-3.14, 3 Na 3.48-3.49

## Properties
**Crystal system**: orthorhombic
**Distance to the lowest polymorph of the same formula**: 0 meV per atom
**Formation energy**: -0.266 eV per atom

***

# 3
The following is a PBE calculation of a relaxed structure of La2Ag5Au12, from Alexandria via LeMat-Bulk.

abc: 9.6007 9.6007 14.5040
angles: 90.00 90.00 120.00
With the nearest neighbours (Å) after each atom.
Space group R-3m (No. 166, hexagonal axes)
Asymmetric unit:
La 0.0000 0.0000 0.1532  15 Au 3.35-3.68, 1 Ag 3.60
Ag 0.0000 0.0000 0.4017  4 Ag 2.85-2.94, 3 Au 3.06
Ag 0.0000 0.5000 0.0000  8 Au 2.80-2.83, 2 Ag 2.94
Au 0.0000 0.3043 0.5000  2 Ag 2.83, 6 Au 2.88-3.04
Au 0.0045 0.5022 0.6505  6 Au 2.77-3.04, 3 Ag 2.80-3.06

## Properties
**Crystal system**: trigonal
**Formation energy**: -0.285 eV per atom

***

# 4
The following is a PBE calculation of a relaxed structure of Nd2SmTeO8, from Alexandria via LeMat-Bulk.

abc: 4.3023 7.2824 5.4562
angles: 90.00 94.76 90.00
With the nearest neighbours (Å) after each atom.
Space group P2/m (No. 10)
Asymmetric unit:
Nd 0.0000 0.2486 0.0000  6 O 2.29-2.51
Sm 0.5000 0.5000 0.5000  6 O 2.31-2.53
Te 0.5000 0.0000 0.5000  6 O 1.94-1.99
O 0.0361 0.5000 0.2529  2 Nd 2.29, 1 Sm 2.31
O 0.0928 0.0000 0.3166  1 Te 1.94
O 0.4360 0.2047 0.7332  1 Te 1.99

## Properties
**Crystal system**: monoclinic
**Formation energy without anion corrections**: -2.37 eV per atom

***

# 5
The following is a PBE calculation of a relaxed structure of VSnPS2, from Alexandria via LeMat-Bulk.

abc: 4.5360 4.5360 4.8597
angles: 90.00 90.00 90.00
With the nearest neighbours (Å) after each atom.
Space group P4/mmm (No. 123)
Asymmetric unit:
V 0.0000 0.0000 0.0000  4 S 2.27, 2 P 2.43
Sn 0.5000 0.5000 0.5000  4 P 3.21, 8 S 3.32
P 0.0000 0.0000 0.5000  2 V 2.43
S 0.0000 0.5000 0.0000  2 V 2.27

## Properties
**Crystal system**: tetragonal
**Distance to the lowest polymorph of the same formula**: 0 meV per atom
**Formation energy without anion corrections**: -0.08 eV per atom

***

# 6
The following is a PBE calculation of a relaxed structure of TaPBr, from Alexandria via LeMat-Bulk.

abc: 6.3136 6.3136 6.3136
angles: 90.00 90.00 90.00
With the nearest neighbours (Å) after each atom.
Space group F-43m (No. 216)
Asymmetric unit:
Ta 0.0000 0.0000 0.0000  4 Br 2.73, 4 P 2.73
P 0.2500 0.2500 0.2500  4 Ta 2.73
Br 0.2500 0.2500 0.7500  4 Ta 2.73

## Properties
**Crystal system**: cubic
**Distance to the lowest polymorph of the same formula**: 567 meV per atom
**Formation energy without anion corrections**: 0.23 eV per atom

***

no.,volume (Å³/atom)
1,31.65
2,38.41
3,20.31
4,14.20
5,20.00
6,20.97